No. 1
A relaxed Hg2Pb7 crystal, computed with PBE-GGA.

```
Hg2Pb7
1.0
-5.250 2.405 1.646
0.326 -3.408 -4.933
-1.757 -7.121 4.803
Hg Pb
2 7
Direct
0.333 0.667 0.000
0.667 0.333 0.000
0.000 0.000 0.000
0.669 0.000 0.328
0.000 0.669 0.328
0.331 0.331 0.328
0.000 0.331 0.672
0.331 0.000 0.672
0.669 0.669 0.672
```

Calculated values
The volume is 30.4 Å³ per atom. As for the formation enthalpy at 0 K: 0.02 eV per atom. The value obtained for the density is 11231 kg/m3. For the magnetic moment, the calculation gives 0.000 μB per formula unit. As for the space group: P-31m.

***

No. 2
A relaxed HgPb crystal, computed with PBE-GGA.

```
HgPb
1.0
5.194 0.000 0.000
-2.597 4.498 0.000
0.000 0.000 6.248
Hg Pb
2 2
Direct
0.333 0.667 0.250
0.667 0.333 0.750
0.333 0.667 0.750
0.667 0.333 0.250
```

Calculated values
The volume is 36.5 Å³ per atom. As for the formation enthalpy at 0 K: 0.18 eV per atom. The value obtained for the density is 9279 kg/m3. For the magnetic moment, the calculation gives 0.000 μB per formula unit. As for the space group: P6_3/mmc.

***

The lowest formation enthalpy at 0 K belongs to which entry?
Hg2Pb7

***

What is the formation enthalpy at 0 K in the second record?
0.18 eV per atom